[1]
## ZrIrPb2 (PBE)

Data for ZrIrPb2 after structural relaxation.

The structure in CIF format:
```
data_ZrIrPb2
_chemical_formula_sum 'Zr2 Ir2 Pb4'
_symmetry_space_group_name_H-M 'I 4/m m m'
_symmetry_Int_Tables_number 139
_symmetry_space_group_name_Hall '-I 4 2'
_cell_length_a 4.2579
_cell_length_b 4.2579
_cell_length_c 9.9903
_cell_angle_alpha 90.00
_cell_angle_beta 90.00
_cell_angle_gamma 90.00
loop_
_atom_site_label
_atom_site_type_symbol
_atom_site_fract_x
_atom_site_fract_y
_atom_site_fract_z
Zr1 Zr 0.0000 0.0000 0.0000
Ir1 Ir 0.0000 0.0000 0.5000
Pb1 Pb 0.0000 0.5000 0.2500
```

energy relative to the elements = 0.274 eV per atom
magnetic moment = 0.00 μB/f.u.
ΔE to the lowest computed polymorph = 7.70 kcal/mol of atoms
mass density = 12.80 Mg/m³

[2]
## Tb6Pr2Dy3Y (PBE)

Data for Tb6Pr2Dy3Y after structural relaxation.

The structure in CIF format:
```
data_Tb6Pr2Dy3Y
_chemical_formula_sum 'Tb12 Pr4 Dy6 Y2'
_symmetry_space_group_name_H-M 'C 1 2/m 1'
_symmetry_Int_Tables_number 12
_symmetry_space_group_name_Hall '-C 2y'
_cell_length_a 6.2076
_cell_length_b 10.7445
_cell_length_c 11.8834
_cell_angle_alpha 90.00
_cell_angle_beta 99.97
_cell_angle_gamma 90.00
loop_
_atom_site_label
_atom_site_type_symbol
_atom_site_fract_x
_atom_site_fract_y
_atom_site_fract_z
Tb1 Tb 0.2478 0.0000 0.2461
Tb2 Tb 0.2485 0.3335 0.2464
Pr1 Pr 0.0000 0.3335 0.5000
Dy1 Dy 0.0000 0.1664 0.0000
Dy2 Dy 0.0000 0.5000 0.0000
Y1 Y 0.0000 0.0000 0.5000
```

energy relative to the elements = 0.016 eV per atom
magnetic moment = 0.00 μB/f.u.
mass density = 7.71 Mg/m³